Material: Co2C2O7
Method: DFT, PBE+U
State: optimized geometry

Cell: 4.8891 4.8891 15.7579 Å, 90.36 90.36 120.24°
Fractional positions:
Co 0.0154 0.8836 0.8613
Co 0.1164 0.9846 0.6387
Co 0.8836 0.0154 0.3613
Co 0.9846 0.1164 0.1387
C 0.1995 0.6842 0.3998
C 0.3158 0.8005 0.1002
C 0.6842 0.1995 0.8998
C 0.8005 0.3158 0.6002
O 0.0384 0.9616 0.7500
O 0.0618 0.8138 0.0838
O 0.0631 0.5838 0.6057
O 0.1862 0.9382 0.4162
O 0.3040 0.5340 0.1104
O 0.4162 0.9369 0.8943
O 0.4660 0.6960 0.3896
O 0.5340 0.3040 0.6104
O 0.5838 0.0631 0.1057
O 0.6960 0.4660 0.8896
O 0.8138 0.0618 0.5838
O 0.9369 0.4162 0.3943
O 0.9382 0.1862 0.9162
O 0.9616 0.0384 0.2500

Computed properties:
spin magnetization	16.00	μB/cell
energy	-6.81	eV per atom